A plane-wave DFT calculation with PBEsol was carried out for an optimized crystal structure of LiLaMg.

Output
Calculated formation energy ... 0.0289 eV/atom
Total moment ... 0.00 μB/f.u.
E above lowest polymorph ... 47 meV/atom
D(E_F) ... 3.18 states/eV per cell
Density ... 3.709 g/cm3
Space group ... I4mm (107)

Cell lengths 3.316, 3.316, 7.314 Å; angles 103.10, 103.10, 90.00 degrees
Atoms (fractional coordinates):
Mg  0.316  0.316  0.632
La  0.000  0.000  0.000
Li  0.684  0.684  0.368



A plane-wave DFT calculation with PBEsol was carried out for an optimized crystal structure of Al2ZnCo.

Output
Calculated formation energy ... -0.1815 eV/atom
Total moment ... 0.39 μB/f.u.
D(E_F) ... 2.40 states/eV per cell
Density ... 5.627 g/cm3
Space group ... P4mm (99)

Cell lengths 3.166, 3.166, 5.248 Å; angles 90.00, 90.00, 90.00 degrees
Atoms (fractional coordinates):
Co  0.000  0.000  0.487
Zn  0.500  0.500  0.744
Al  0.500  0.500  0.280
Al  0.000  0.000  0.989



A plane-wave DFT calculation with PBEsol was carried out for an optimized crystal structure of Cd3Ag.

Output
Calculated formation energy ... -0.0180 eV/atom
Total moment ... 0.00 μB/f.u.
D(E_F) ... 1.28 states/eV per cell
Density ... 9.645 g/cm3
Space group ... C2/m (12)

Cell lengths 3.094, 5.161, 5.108 Å; angles 99.52, 90.00, 107.44 degrees
Atoms (fractional coordinates):
Cd  0.746  0.491  0.243
Ag  0.000  0.000  0.000
Cd  0.500  0.000  0.500
Cd  0.254  0.509  0.757



A plane-wave DFT calculation with PBEsol was carried out for an optimized crystal structure of Sr3MoPd.

Output
Calculated formation energy ... 0.9937 eV/atom
Total moment ... 0.00 μB/f.u.
D(E_F) ... 3.08 states/eV per cell
Density ... 4.743 g/cm3
Space group ... Pm-3m (221)

Cell lengths 5.461, 5.461, 5.461 Å; angles 90.00, 90.00, 90.00 degrees
Atoms (fractional coordinates):
Sr  0.000  0.500  0.000
Pd  0.500  0.500  0.500
Mo  0.000  0.000  0.000
Sr  0.000  0.000  0.500
Sr  0.500  0.000  0.000



A plane-wave DFT calculation with PBEsol was carried out for an optimized crystal structure of Cr2PtCl.

Output
Formation energy (no corrections) ... 0.25 eV/atom
Total moment ... 0.00 μB/f.u.
D(E_F) ... 4.80 states/eV per cell
Density ... 10.885 g/cm3
Space group ... R-3m (166)

Cell lengths 2.731, 2.731, 8.057 Å; angles 80.24, 80.24, 60.00 degrees
Atoms (fractional coordinates):
Cr  0.256  0.256  0.233
Cl  0.000  0.000  0.000
Pt  0.500  0.500  0.500
Cr  0.744  0.744  0.767



A plane-wave DFT calculation with PBEsol was carried out for an optimized crystal structure of FeNiP.

Output
Calculated formation energy ... -0.5555 eV/atom
Total moment ... 1.18 μB/f.u.
D(E_F) ... 6.50 states/eV per cell
Density ... 7.661 g/cm3
Space group ... P-62m (189)

Cell lengths 3.366, 5.697, 5.697 Å; angles 120.00, 90.00, 90.00 degrees
Atoms (fractional coordinates):
Ni  0.000  0.257  0.257
Fe  0.500  0.401  0.000
Fe  0.500  0.000  0.401
Ni  0.000  0.743  0.000
P  0.000  0.333  0.667
Ni  0.000  0.000  0.743
P  0.500  0.000  0.000
P  0.000  0.667  0.333
Fe  0.500  0.599  0.599